# 1
First-principles (GGA-PBE) data for a relaxed SbPb2C crystal, as listed in Alexandria via LeMat-Bulk.

Results
E above lowest polymorph in eV per formula unit: 1.78
Magnetization in μB per formula unit: 0.00
Fermi-level density of states in states/eV per atom: 0.6440
E_form (uncorrected) in eV/atom: 1.400

extended XYZ file:
```
4
Lattice="0.0000 3.6657 3.6657 3.6657 0.0000 3.6657 3.6657 3.6657 0.0000" Properties=species:S:1:pos:R:3 pbc="T T T"
Pb 1.8329 1.8329 1.8329
Pb 5.4986 5.4986 5.4986
Sb 3.6657 3.6657 3.6657
C 0.0000 0.0000 0.0000
```


# 2
First-principles (GGA-PBE) data for a relaxed SbPbC3 crystal, as listed in Alexandria via LeMat-Bulk.

Results
E above lowest polymorph in eV per formula unit: 0.00
Magnetization in μB per formula unit: 1.03
Fermi-level density of states in states/eV per atom: 0.7900
E_form (uncorrected) in eV/atom: 2.567

extended XYZ file:
```
5
Lattice="4.3604 0.0000 0.0000 0.0000 4.3604 0.0000 0.0000 0.0000 4.3604" Properties=species:S:1:pos:R:3 pbc="T T T"
Pb 2.1802 2.1802 2.1802
Sb 0.0000 0.0000 0.0000
C 0.0000 2.1802 0.0000
C 0.0000 0.0000 2.1802
C 2.1802 0.0000 0.0000
```


# 3
First-principles (GGA-PBE) data for a relaxed SbPbC2 crystal, as listed in Alexandria via LeMat-Bulk.

Results
E above lowest polymorph in eV per formula unit: 3.42
Magnetization in μB per formula unit: 0.00
Fermi-level density of states in states/eV per atom: 0.7054
E_form (uncorrected) in eV/atom: 2.278

extended XYZ file:
```
4
Lattice="0.0000 3.1995 3.1995 3.1995 0.0000 3.1995 3.1995 3.1995 0.0000" Properties=species:S:1:pos:R:3 pbc="T T T"
Pb 3.1995 3.1995 3.1995
Sb 0.0000 0.0000 0.0000
C 1.5998 1.5998 1.5998
C 4.7993 4.7993 4.7993
```


# 4
First-principles (GGA-PBE) data for a relaxed Sc6SbPb2C crystal, as listed in Alexandria via LeMat-Bulk.

Results
Magnetization in μB per formula unit: 0.00
Fermi-level density of states in states/eV per atom: 0.7896
E_form (uncorrected) in eV/atom: -0.242

extended XYZ file:
```
10
Lattice="-4.1736 -2.6251 -0.9610 2.6230 -3.0800 -2.9777 1.8704 -5.7568 7.6023" Properties=species:S:1:pos:R:3 pbc="T T T"
Sc -2.0868 -1.3125 -0.4805
Sc -1.1516 -4.1910 3.3206
Sc 1.3115 -1.5400 -1.4889
Sc 2.2467 -4.4184 2.3123
Sc 0.5690 -6.9900 3.4944
Sc -0.2492 -4.4720 0.1691
Sb -0.7753 -2.8526 -1.9694
Pb 1.3894 -4.2765 5.6474
Pb 0.4810 -1.4803 1.9549
C 0.1599 -5.7310 1.8318
```